A plane-wave DFT calculation with SCAN was carried out for a PBEsol-optimized structure of Al2OsW.

```
Al2OsW
1.0
6.904 0.000 0.000
0.000 6.904 0.000
0.000 0.000 5.301
Al Os W
8 4 4
Cartesian
1.582 1.726 0.663
1.726 5.034 1.988
1.726 5.322 4.638
1.870 1.726 3.313
5.034 5.178 3.313
5.178 1.582 4.638
5.178 1.870 1.988
5.322 5.178 0.663
0.000 0.000 0.000
0.000 3.452 1.325
3.452 0.000 3.976
3.452 3.452 2.651
0.000 0.000 2.651
0.000 3.452 3.976
3.452 0.000 1.325
3.452 3.452 0.000
```

## Properties
* energy of formation from the pure elements: 521 meV/atom
* crystal system: tetragonal
* space-group type: I-42d (122)
* ρ: 11.25 g cm⁻³
* magnetization: 0.000 μB per formula unit

A plane-wave DFT calculation with SCAN was carried out for a PBEsol-optimized structure of La7Ni2P.

```
La7Ni2P
1.0
11.932 0.000 0.000
0.000 11.932 0.000
0.000 0.000 3.760
La Ni P
14 4 2
Cartesian
0.000 5.966 0.000
0.719 2.349 0.000
2.122 8.088 1.880
2.349 11.214 0.000
3.618 5.248 0.000
3.844 2.122 1.880
5.248 8.315 0.000
5.966 0.000 0.000
6.685 3.618 0.000
8.088 9.811 1.880
8.315 6.685 0.000
9.584 0.719 0.000
9.811 3.844 1.880
11.214 9.584 0.000
1.553 4.414 1.880
4.414 10.380 1.880
7.519 1.553 1.880
10.380 7.519 1.880
0.000 0.000 1.880
5.966 5.966 1.880
```

## Properties
* energy of formation from the pure elements: -407 meV/atom
* crystal system: tetragonal
* space-group type: P4/mbm (127)
* ρ: 6.95 g cm⁻³
* magnetization: 0.000 μB per formula unit

A plane-wave DFT calculation with SCAN was carried out for a PBEsol-optimized structure of CaNiB3.

```
CaNiB3
1.0
3.847 0.000 0.000
0.000 3.847 0.000
0.000 0.000 3.847
Ca Ni B
1 1 3
Cartesian
0.000 0.000 0.000
1.924 1.924 1.924
0.000 1.924 1.924
1.924 0.000 1.924
1.924 1.924 0.000
```

## Properties
* energy of formation from the pure elements: 538 meV/atom
* crystal system: cubic
* space-group type: Pm-3m (221)
* ρ: 3.83 g cm⁻³
* magnetization: 0.000 μB per formula unit

A plane-wave DFT calculation with SCAN was carried out for a PBEsol-optimized structure of ScTl2Cl.

```
ScTl2Cl
1.0
3.447 0.000 0.000
-1.723 2.985 0.000
0.000 0.000 29.316
Sc Tl Cl
3 6 3
Cartesian
0.000 0.000 0.000
0.000 1.990 19.544
1.723 0.995 9.772
0.000 0.000 7.499
0.000 0.000 14.656
0.000 1.990 4.884
0.000 1.990 27.043
1.723 0.995 17.271
1.723 0.995 24.428
0.000 0.000 21.139
0.000 1.990 11.367
1.723 0.995 1.594
```

## Properties
* crystal system: trigonal
* space-group type: R3m (160)
* ρ: 8.08 g cm⁻³
* uncorrected formation energy: -0.823 eV per atom
* magnetization: 0.150 μB per formula unit